1.
Computed, not measured: a relaxed NaSr3Pd crystal at the PBE-GGA level of DFT.

Properties
- Electronic total energy: -2.150 eV/atom
- Formation energy from the elements: 0.161 eV/atom

abc: 5.2133 5.2133 19.1867
angles: 90.00 90.00 120.00
With the nearest neighbours (Å) after each atom.
Space group P6_3/mmc (No. 194)
Inequivalent atoms, fractional coordinates:
Na 0.3333 0.6667 0.2500 x2  3 Sr 3.01
Sr 0.0000 0.0000 0.2500 x2  3 Na 3.01
Sr 0.3333 0.6667 0.0672 x4  3 Pd 3.27, 1 Na 3.51
Pd 0.0000 0.0000 0.0000 x2  6 Sr 3.27


2.
Computed, not measured: a relaxed Pm8Sm2Sc3 crystal at the PBE-GGA level of DFT.

Properties
- Electronic total energy: -4.870 eV/atom
- Formation energy from the elements: 0.241 eV/atom

abc: 15.0107 8.8615 6.6592
angles: 90.00 99.29 90.00
With the nearest neighbours (Å) after each atom.
Space group C2/m (No. 12)
Inequivalent atoms, fractional coordinates:
Pm 0.0909 0.0000 0.3991 x4  4 Pm 3.23-3.57, 2 Sc 3.41, 1 Sm 3.61
Pm 0.1098 0.1829 0.9301 x8  3 Pm 3.24-3.57, 2 Sm 3.29-3.54, 2 Sc 3.33-3.36
Pm 0.1878 0.5000 0.3133 x4  2 Sm 3.20-3.47, 3 Sc 3.22-3.56, 1 Pm 3.56
Sm 0.1987 0.5000 0.7973 x4  6 Pm 3.20-3.54, 1 Sc 3.47
Sc 0.0000 0.3384 0.5000 x4  1 Sc 2.86
Sc 0.0000 0.5000 0.0000 x2  6 Pm 3.22-3.33, 2 Sm 3.47